Na2CaCrO4 | PBE with a Hubbard U | relaxed

Structure (CIF):
```
data_Na2CaCrO4
_chemical_formula_sum 'Na2 Ca1 Cr1 O4'
_cell_length_a 3.1774
_cell_length_b 5.6064
_cell_length_c 5.7479
_cell_angle_alpha 109.66
_cell_angle_beta 90.00
_cell_angle_gamma 90.00
_symmetry_space_group_name_H-M 'P 1'
_symmetry_Int_Tables_number 1
loop_
_symmetry_equiv_pos_as_xyz
'x,y,z'
loop_
_atom_site_label
_atom_site_type_symbol
_atom_site_fract_x
_atom_site_fract_y
_atom_site_fract_z
Ca1 Ca 0.5000 0.5000 0.0000
O1 O 0.0000 0.2119 0.7994
Cr1 Cr 0.0000 0.0000 0.0000
O2 O 0.0000 0.7881 0.2006
Na1 Na 0.0000 0.5000 0.5000
O3 O 0.5000 0.7907 0.7955
Na2 Na 0.5000 0.0000 0.5000
O4 O 0.5000 0.2093 0.2045
```

Output
E in eV per cell: -47.3